1.
Below is Mn2ReSb after structural relaxation, with properties calculated at the PBE level.

As for the formation energy from raw total energies: 0.86 eV per atom.

The structure belongs to space group I-42d (No. 122); the cell edges are 6.863, 6.863 and 5.460 Å and the angles 90.00°, 90.00° and 90.00°. The inequivalent atoms are Mn at (0.211, 0.250, 0.125), Re at (0.000, 0.000, 0.000) and Sb at (0.000, 0.000, 0.500).

---

2.
Below is PmTcAs2 after structural relaxation, with properties calculated at the PBE level.

The value obtained for the polymorph energy (0 for the lowest one) is 0.000 eV per atom. For the formation energy, the calculation gives -0.68 eV/atom.

The structure belongs to space group R-3m (No. 166, hexagonal axes); the cell edges are 4.2971, 4.2971 and 14.8050 Å and the angles 90.00°, 90.00° and 120.00°. The inequivalent atoms are Pm at (0.0000, 0.0000, 0.0000), Tc at (0.0000, 0.0000, 0.5000) and As at (0.0000, 0.0000, 0.2193).

---

3.
Below is K3Ce3PdSe8 after structural relaxation, with properties calculated at the PBE level.

As for the formation energy from raw total energies: -1.37 eV per atom.

The structure belongs to space group C2/m (No. 12); the cell edges are 14.448, 8.380 and 9.178 Å and the angles 90.00°, 121.63° and 90.00°. The inequivalent atoms are K at (0.000, 0.000, 0.000), K at (0.250, 0.250, 0.000), Ce at (0.000, 0.500, 0.500), Ce at (0.250, 0.250, 0.500), Pd at (0.000, 0.000, 0.500), Se at (0.016, 0.243, 0.303), Se at (0.215, 0.000, 0.688) and Se at (0.237, 0.500, 0.711).

---

| no. | D(E_F) (states/eV per cell) |
| --- | --- |
| 1 | 16.58 |
| 2 | 4.92 |
| 3 | 32.92 |